1.
! SbPt2S, optimized geometry, DFT PBE; values from VASP
! Calculated total energy   -5.298 eV/atom
! Formation energy from raw total energies   -0.215 eV per atom
&SYSTEM
  ibrav = 0, nat = 8, ntyp = 3
/
ATOMIC_SPECIES
S 32.06 S.upf
Pt 195.08 Pt.upf
Sb 121.76 Sb.upf
CELL_PARAMETERS angstrom
4.9579 0.0000 0.0000
0.0000 4.9579 0.0000
2.4789 2.4789 6.9985
ATOMIC_POSITIONS angstrom
S 2.4789 4.9579 3.4993
S 2.4789 2.4789 0.0000
Pt 1.7048 3.7184 1.7496
Pt 3.2531 1.2395 1.7496
Pt 3.7184 4.1837 5.2489
Pt 6.1973 5.7320 5.2489
Sb 0.0000 0.0000 0.0000
Sb 4.9579 2.4789 3.4993

=====

2.
! Sn2Te2C, optimized geometry, DFT PBE; values from VASP
! Calculated total energy   -3.319 eV/atom
! Formation energy from raw total energies   1.383 eV per atom
&SYSTEM
  ibrav = 0, nat = 5, ntyp = 3
/
ATOMIC_SPECIES
Sn 118.71 Sn.upf
Te 127.60 Te.upf
C 12.01 C.upf
CELL_PARAMETERS angstrom
4.1869 0.0000 0.0000
0.0000 4.1869 0.0000
2.0934 2.0934 7.9994
ATOMIC_POSITIONS angstrom
Sn 4.1869 2.0934 3.9997
Sn 2.0934 4.1869 3.9997
Te 2.0934 2.0934 1.4232
Te 4.1869 4.1869 6.5762
C 0.0000 0.0000 0.0000

=====

3.
! YCu2Sb2, optimized geometry, DFT PBE; values from VASP
! Calculated total energy   -4.867 eV/atom
! Formation energy from raw total energies   -0.287 eV per atom
&SYSTEM
  ibrav = 0, nat = 10, ntyp = 3
/
ATOMIC_SPECIES
Y 88.91 Y.upf
Sb 121.76 Sb.upf
Cu 63.55 Cu.upf
CELL_PARAMETERS angstrom
-0.8757 -2.1958 7.2203
1.9605 -7.0853 -1.9170
3.3946 0.7650 0.6443
ATOMIC_POSITIONS angstrom
Y 0.5424 -4.6405 2.6517
Y 0.0000 0.0000 0.0000
Sb 2.8740 -4.8405 0.3238
Sb 1.6055 -3.6756 5.6238
Sb 1.7730 -1.6006 2.2780
Sb 2.7065 -6.9155 3.6696
Cu 0.6576 -2.9864 0.0811
Cu 0.4273 -6.2947 5.2222
Cu -0.3144 -2.1538 4.2135
Cu 1.3993 -7.1273 1.0898

=====

no.,total moment (μB/f.u.),density (g cm⁻³)
1,0.0,10.50
2,1.2,5.98
3,0.0,7.47